# 1
Computed, not measured: a relaxed RbGa2AsN crystal at the PBE level of DFT.

Its total magnetic moment is 0.0 μB per formula unit. As for the space group: No. 123. The calculation puts the formation energy (no corrections) at 0.717 eV per atom.

```
RbGa2AsN
1.0
5.580 0.000 0.000
0.000 5.580 0.000
0.000 0.000 3.991
Rb Ga As N
1 2 1 1
direct
0.000 0.000 0.000
0.000 0.500 0.500
0.500 0.000 0.500
0.500 0.500 0.500
0.500 0.500 0.000
```

# 2
Computed, not measured: a relaxed RbGaAsN2 crystal at the PBE level of DFT.

Its total magnetic moment is 0.7 μB per formula unit. As for the space group: No. 123. The calculation puts the formation energy (no corrections) at 1.669 eV per atom.

```
RbGaAsN2
1.0
4.175 0.000 0.000
0.000 4.175 0.000
0.000 0.000 6.107
Rb Ga As N
1 1 1 2
direct
0.000 0.000 0.000
0.000 0.000 0.500
0.500 0.500 0.000
0.000 0.500 0.500
0.500 0.000 0.500
```

# 3
Computed, not measured: a relaxed GaAsS2N crystal at the PBE level of DFT.

Its total magnetic moment is 0.0 μB per formula unit. For the energy above the most stable polymorph in this dataset, the calculation gives 0 meV/atom. As for the space group: No. 123. The calculation puts the formation energy (no corrections) at 0.719 eV per atom.

```
GaAsS2N
1.0
4.872 0.000 0.000
0.000 4.872 0.000
0.000 0.000 3.644
Ga As S N
1 1 2 1
direct
0.000 0.000 0.000
0.500 0.500 0.500
0.000 0.500 0.500
0.500 0.000 0.500
0.500 0.500 0.000
```

# 4
Computed, not measured: a relaxed GaAsS2N crystal at the PBE level of DFT.

Its total magnetic moment is 1.6 μB per formula unit. For the energy above the most stable polymorph in this dataset, the calculation gives 84 meV/atom. As for the space group: No. 123. The calculation puts the formation energy (no corrections) at 0.803 eV per atom.

```
GaAsS2N
1.0
4.861 0.000 0.000
0.000 4.861 0.000
0.000 0.000 3.691
Ga As S N
1 1 2 1
direct
0.000 0.000 0.000
0.500 0.500 0.500
0.000 0.500 0.000
0.500 0.000 0.000
0.000 0.000 0.500
```

| no. | energy (eV/atom) |
| --- | --- |
| 1 | -3.28 |
| 2 | -3.39 |
| 3 | -4.13 |
| 4 | -4.05 |